First-principles (GGA-PBE) data for a relaxed BiAsPtO crystal, as listed in the Open Quantum Materials Database.

Calculated values
* crystal system: tetragonal
* energy above the lowest structure with this stoichiometry: 0.8750 eV/atom

Cell: 4.4995 4.4995 8.2896 Å, 90.00 90.00 90.00°
Closest atoms and distances in Å follow each position.
Positions (direct):
As 0.7500 0.7500 0.2556  1 Pt 2.40
As 0.2500 0.2500 0.7444  1 Pt 2.40
Bi 0.7500 0.2500 0.5000  4 As 3.03, 4 Bi 3.18
Bi 0.2500 0.7500 0.5000  4 As 3.03, 4 Bi 3.18
O 0.7500 0.2500 0.0000  4 Pt 2.27
O 0.2500 0.7500 0.0000  4 Pt 2.27
Pt 0.2500 0.2500 0.0343  4 O 2.27, 1 As 2.40
Pt 0.7500 0.7500 0.9657  4 O 2.27, 1 As 2.40


First-principles (GGA-PBE) data for a relaxed AcHf2Sn crystal, as listed in the Open Quantum Materials Database.

Calculated values
* crystal system: hexagonal
* VASP energy: -6.48 eV/atom

Cell: 11.6537 3.3500 3.3500 Å, 60.00 90.00 90.00°
Closest atoms and distances in Å follow each position.
Positions (direct):
Ac 0.5000 0.6665 0.6665  6 Ac 3.35, 6 Hf 3.50
Hf 0.2498 0.0000 0.0000  1 Sn 2.91
Hf 0.7502 0.0000 0.0000  1 Sn 2.91
Sn 0.0000 0.0000 0.0000  2 Hf 2.91


First-principles (GGA-PBE) data for a relaxed ReTePd crystal, as listed in the Open Quantum Materials Database.

Calculated values
* crystal system: cubic
* energy above the lowest structure with this stoichiometry: 0.0000 eV/atom

Cell: 4.3871 4.3871 4.3871 Å, 60.00 60.00 60.00°
Closest atoms and distances in Å follow each position.
Positions (direct):
Pd 0.2500 0.2500 0.2500  4 Re 2.69
Re 0.0000 0.0000 0.0000  4 Te 2.69, 4 Pd 2.69
Te 0.7500 0.7500 0.7500  4 Re 2.69


First-principles (GGA-PBE) data for a relaxed Li2Mg2Al2AgPd crystal, as listed in the Open Quantum Materials Database.

Calculated values
* crystal system: tetragonal
* VASP energy: -3.20 eV/atom

Cell: 4.4781 4.4781 6.3666 Å, 90.00 90.00 90.00°
Closest atoms and distances in Å follow each position.
Positions (direct):
Ag 0.0000 0.0000 0.0000  4 Mg 2.78, 4 Al 2.80
Al 0.0000 0.5000 0.2644  2 Pd 2.70, 4 Li 2.70-2.80, 2 Ag 2.80
Al 0.5000 0.0000 0.7356  2 Pd 2.70, 4 Li 2.70-2.80, 2 Ag 2.80
Li 0.5000 0.5000 0.0000  4 Mg 2.78, 4 Al 2.80
Li 0.0000 0.0000 0.5000  4 Al 2.70, 4 Mg 2.72
Mg 0.5000 0.0000 0.2586  2 Pd 2.72, 4 Li 2.72-2.78, 2 Ag 2.78, 1 Al 3.04
Mg 0.0000 0.5000 0.7414  4 Li 2.72-2.78, 2 Pd 2.72, 2 Ag 2.78, 1 Al 3.04
Pd 0.5000 0.5000 0.5000  4 Al 2.70, 4 Mg 2.72


First-principles (GGA-PBE) data for a relaxed Dy2Y2ErTm2Ni2Te2 crystal, as listed in the Open Quantum Materials Database.

Calculated values
* crystal system: orthorhombic
* energy above the lowest structure with this stoichiometry: 0.0128 eV/atom

Cell: 9.3445 9.3445 9.3445 Å, 156.32 67.05 118.30°
Closest atoms and distances in Å follow each position.
Positions (direct):
Dy 0.0283 0.8957 0.1326  2 Ni 2.79
Dy 0.7631 0.8957 0.8674  2 Ni 2.79
Er 0.4755 0.4755 0.0000  3 Te 3.18-3.19
Ni 0.6392 0.4018 0.2374  2 Dy 2.79, 2 Tm 2.80, 2 Y 2.81
Ni 0.1644 0.4018 0.7626  2 Dy 2.79, 2 Tm 2.80, 2 Y 2.81
Te 0.1429 0.1429 0.0000  2 Dy 3.14, 4 Tm 3.15, 1 Er 3.19
Te 0.7401 0.2401 0.5000  2 Er 3.18, 2 Y 3.19, 4 Dy 3.19
Tm 0.1017 0.7486 0.3531  2 Ni 2.80
Tm 0.3955 0.7486 0.6469  2 Ni 2.80
Y 0.4129 0.0976 0.3153  2 Ni 2.81
Y 0.7824 0.0976 0.6847  2 Ni 2.81


First-principles (GGA-PBE) data for a relaxed Er2TmAl3Cu2Ni crystal, as listed in the Open Quantum Materials Database.

Calculated values
* crystal system: orthorhombic
* VASP energy: -4.73 eV/atom

Cell: 3.9822 6.9192 6.9192 Å, 120.02 90.00 90.00°
Closest atoms and distances in Å follow each position.
Positions (direct):
Al 0.5000 0.2338 0.0010  2 Ni 2.56, 2 Cu 2.71-2.74, 2 Al 2.79-2.80
Al 0.5000 0.0010 0.2338  2 Ni 2.56, 2 Cu 2.71-2.74, 2 Al 2.79-2.80
Al 0.5000 0.7659 0.7659  2 Ni 2.57, 2 Cu 2.71, 2 Al 2.80
Cu 0.5000 0.6650 0.3342  3 Al 2.71-2.74, 2 Tm 2.88, 4 Er 2.89
Cu 0.5000 0.3342 0.6650  3 Al 2.71-2.74, 2 Tm 2.88, 4 Er 2.89
Er 0.0000 0.9996 0.5888  1 Ni 2.85, 4 Cu 2.89, 6 Al 3.17-3.18
Er 0.0000 0.5888 0.9996  1 Ni 2.85, 4 Cu 2.89, 6 Al 3.17-3.18
Ni 0.0000 0.0017 0.0017  6 Al 2.56-2.57, 1 Tm 2.82, 2 Er 2.85
Tm 0.0000 0.4099 0.4099  1 Ni 2.82, 4 Cu 2.88


First-principles (GGA-PBE) data for a relaxed ThNi2 crystal, as listed in the Open Quantum Materials Database.

Calculated values
* crystal system: tetragonal
* energy of formation from the pure elements: 0.4518 eV per atom

Cell: 5.0548 5.0548 4.9684 Å, 90.00 90.00 90.00°
Closest atoms and distances in Å follow each position.
Positions (direct):
Ni 0.3409 0.3409 0.0000  1 Ni 2.27, 1 Th 2.44
Ni 0.6591 0.6591 0.0000  1 Ni 2.27, 1 Th 2.44
Ni 0.8409 0.1591 0.5000  1 Ni 2.27, 1 Th 2.44
Ni 0.1591 0.8409 0.5000  1 Ni 2.27, 1 Th 2.44
Th 0.0000 0.0000 0.0000  2 Ni 2.44
Th 0.5000 0.5000 0.5000  2 Ni 2.44


First-principles (GGA-PBE) data for a relaxed Hf3Co2Mo2 crystal, as listed in the Open Quantum Materials Database.

Calculated values
* crystal system: trigonal
* energy of formation from the pure elements: 0.3830 eV per atom

Cell: 7.6152 7.6152 7.6152 Å, 34.11 34.11 34.11°
Closest atoms and distances in Å follow each position.
Positions (direct):
Co 0.2498 0.2498 0.2498  7 Hf 2.70-2.75
Co 0.7543 0.7543 0.7543  5 Hf 2.52-2.82
Hf 0.3754 0.3754 0.3754  4 Mo 2.55-2.69, 4 Co 2.70-2.76
Hf 0.6232 0.6232 0.6232  4 Co 2.72-2.82, 4 Mo 2.77-2.79
Hf 0.8717 0.8717 0.8717  4 Co 2.52-2.75, 3 Mo 2.75
Mo 0.0063 0.0063 0.0063  7 Hf 2.69-2.89
Mo 0.4943 0.4943 0.4943  5 Hf 2.55-2.77


First-principles (GGA-PBE) data for a relaxed AcIrPb crystal, as listed in the Open Quantum Materials Database.

Calculated values
* crystal system: cubic
* energy above the lowest structure with this stoichiometry: 0.1742 eV/atom

Cell: 5.1572 5.1572 5.1572 Å, 60.00 60.00 60.00°
Closest atoms and distances in Å follow each position.
Positions (direct):
Ac 0.0000 0.0000 0.0000  4 Pb 3.16, 4 Ir 3.16
Ir 0.2500 0.2500 0.2500  4 Ac 3.16
Pb 0.7500 0.7500 0.7500  4 Ac 3.16


First-principles (GGA-PBE) data for a relaxed Y2CuPdI2 crystal, as listed in the Open Quantum Materials Database.

Calculated values
* crystal system: trigonal
* VASP energy: -5.09 eV/atom

Cell: 4.2609 4.2609 11.7179 Å, 90.00 90.00 120.00°
Closest atoms and distances in Å follow each position.
Positions (direct):
Cu 0.0000 0.0000 0.4941  3 Pd 2.46
I 0.6667 0.3333 0.1689  3 Y 3.21
I 0.0000 0.0000 0.8312  3 Y 3.22
Pd 0.6667 0.3333 0.5060  3 Cu 2.46
Y 0.3333 0.6667 0.3456  3 Cu 3.01, 3 Pd 3.10, 3 I 3.21
Y 0.3333 0.6667 0.6542  3 Pd 3.01, 3 Cu 3.09, 3 I 3.22


First-principles (GGA-PBE) data for a relaxed Th2AgAu3 crystal, as listed in the Open Quantum Materials Database.

Calculated values
* crystal system: orthorhombic
* energy of formation from the pure elements: -0.5981 eV per atom

Cell: 9.6846 9.0509 5.9136 Å, 77.54 65.86 36.60°
Closest atoms and distances in Å follow each position.
Positions (direct):
Ag 0.6666 0.6666 0.3334  3 Au 2.77-2.78
Ag 0.3334 0.3334 0.6666  3 Au 2.77-2.78
Au 0.8322 0.8322 0.1678  1 Ag 2.78, 2 Au 2.82
Au 0.3362 0.8315 0.1685  1 Ag 2.77, 2 Au 2.81-2.82
Au 0.1685 0.6638 0.3362  1 Ag 2.77, 2 Au 2.81-2.82
Au 0.8315 0.3362 0.6638  1 Ag 2.77, 2 Au 2.81-2.82
Au 0.6638 0.1685 0.8315  1 Ag 2.77, 2 Au 2.81-2.82
Au 0.1678 0.1678 0.8322  1 Ag 2.78, 2 Au 2.82
Th 0.7525 0.2475 0.2475  10 Au 3.27-3.28, 2 Ag 3.28, 2 Th 3.36-3.43
Th 0.2500 0.2500 0.2500  8 Au 3.26, 4 Ag 3.27, 2 Th 3.40
Th 0.7500 0.7500 0.7500  8 Au 3.26, 4 Ag 3.27, 2 Th 3.40
Th 0.2475 0.7525 0.7525  10 Au 3.27-3.28, 2 Ag 3.28, 2 Th 3.36-3.43


First-principles (GGA-PBE) data for a relaxed GdYHg crystal, as listed in the Open Quantum Materials Database.

Calculated values
* crystal system: cubic
* energy above the lowest structure with this stoichiometry: 0.0000 eV/atom
* energy of formation from the pure elements: -0.1233 eV per atom

Cell: 5.1174 5.1174 5.1174 Å, 60.00 60.00 60.00°
Closest atoms and distances in Å follow each position.
Positions (direct):
Gd 0.2500 0.2500 0.2500  4 Hg 3.13
Hg 0.0000 0.0000 0.0000  4 Gd 3.13, 4 Y 3.13
Y 0.7500 0.7500 0.7500  4 Hg 3.13


First-principles (GGA-PBE) data for a relaxed CsTa3Te5 crystal, as listed in the Open Quantum Materials Database.

Calculated values
* crystal system: hexagonal
* VASP energy: -6.15 eV/atom

Cell: 6.0594 6.0594 8.7554 Å, 90.00 90.00 120.00°
Closest atoms and distances in Å follow each position.
Positions (direct):
Cs 0.0000 0.0000 0.0000  14 Te 4.10-4.38
Ta 0.5000 0.0000 0.5000  6 Te 2.84-3.03, 4 Ta 3.03
Ta 0.0000 0.5000 0.5000  6 Te 2.84-3.03, 4 Ta 3.03
Ta 0.5000 0.5000 0.5000  6 Te 2.84-3.03, 4 Ta 3.03
Te 0.6667 0.3333 0.2444  3 Ta 2.84
Te 0.3333 0.6667 0.2444  3 Ta 2.84
Te 0.0000 0.0000 0.5000  6 Ta 3.03
Te 0.6667 0.3333 0.7556  3 Ta 2.84
Te 0.3333 0.6667 0.7556  3 Ta 2.84


First-principles (GGA-PBE) data for a relaxed ScMoH4 crystal, as listed in the Open Quantum Materials Database.

Calculated values
* crystal system: monoclinic
* VASP energy: -5.43 eV/atom

Cell: 3.2516 3.2516 4.4074 Å, 90.15 90.15 90.02°
Closest atoms and distances in Å follow each position.
Positions (direct):
H 0.9990 0.5007 0.2242  2 Mo 1.90, 1 H 1.98, 2 Sc 2.03
H 0.5007 0.9990 0.2242  2 Mo 1.90, 1 H 1.98, 2 Sc 2.03
H 0.4993 0.0010 0.7758  2 Mo 1.90, 1 H 1.98, 2 Sc 2.03
H 0.0010 0.4993 0.7758  2 Mo 1.90, 1 H 1.98, 2 Sc 2.03
Mo 0.0000 0.0000 0.0000  8 H 1.90
Sc 0.5000 0.5000 0.5000  8 H 2.03


First-principles (GGA-PBE) data for a relaxed CdCuGeAu crystal, as listed in the Open Quantum Materials Database.

Calculated values
* crystal system: cubic
* energy above the lowest structure with this stoichiometry: 0.0000 eV/atom

Cell: 4.6685 4.6685 4.6685 Å, 60.00 60.00 60.00°
Closest atoms and distances in Å follow each position.
Positions (direct):
Au 0.2500 0.2500 0.2500  4 Cd 2.86, 4 Ge 2.86
Cd 0.5000 0.5000 0.5000  4 Cu 2.86, 4 Au 2.86
Cu 0.7500 0.7500 0.7500  4 Cd 2.86, 4 Ge 2.86
Ge 0.0000 0.0000 0.0000  4 Cu 2.86, 4 Au 2.86


First-principles (GGA-PBE) data for a relaxed FeCuBr3Cl crystal, as listed in the Open Quantum Materials Database.

Calculated values
* crystal system: triclinic
* energy above the lowest structure with this stoichiometry: 0.0000 eV/atom

Cell: 5.9021 5.9477 6.6696 Å, 116.30 115.17 90.09°
Closest atoms and distances in Å follow each position.
Positions (direct):
Br 0.8835 0.4058 0.2512  1 Fe 2.37, 1 Cu 2.43
Br 0.5971 0.6333 0.7469  1 Fe 2.37, 1 Cu 2.43
Br 0.1515 0.1199 0.7495  1 Fe 2.37, 1 Cu 2.44
Cl 0.3677 0.8323 0.2513  1 Fe 2.23, 1 Cu 2.30
Cu 0.4982 0.5070 0.0064  1 Cl 2.30, 3 Br 2.43-2.44
Fe 0.2520 0.7516 0.4947  1 Cl 2.23, 3 Br 2.37


First-principles (GGA-PBE) data for a relaxed TlPAuO crystal, as listed in the Open Quantum Materials Database.

Calculated values
* crystal system: tetragonal
* energy above the lowest structure with this stoichiometry: 0.4343 eV/atom

Cell: 4.4842 4.4842 8.9399 Å, 90.00 90.00 90.00°
Closest atoms and distances in Å follow each position.
Positions (direct):
Au 0.0000 0.5000 0.0512  4 O 2.29, 1 P 2.41
Au 0.5000 0.0000 0.9488  4 O 2.29, 1 P 2.41
O 0.0000 0.0000 0.0000  4 Au 2.29
O 0.5000 0.5000 0.0000  4 Au 2.29
P 0.0000 0.5000 0.3212  1 Au 2.41
P 0.5000 0.0000 0.6788  1 Au 2.41
Tl 0.0000 0.0000 0.5000  4 P 2.75
Tl 0.5000 0.5000 0.5000  4 P 2.75


First-principles (GGA-PBE) data for a relaxed CdP2Ir crystal, as listed in the Open Quantum Materials Database.

Calculated values
* crystal system: tetragonal
* VASP energy: -5.21 eV/atom

Cell: 6.7760 6.7760 6.7760 Å, 130.65 130.65 72.38°
Closest atoms and distances in Å follow each position.
Positions (direct):
Cd 0.0000 0.0000 0.0000  4 P 2.62
Cd 0.7500 0.2500 0.5000  4 P 2.62
Ir 0.5000 0.5000 0.0000  4 P 2.26
Ir 0.2500 0.7500 0.5000  4 P 2.26
P 0.8750 0.4298 0.0548  2 Ir 2.26
P 0.5702 0.6250 0.4452  2 Ir 2.26
P 0.1798 0.1250 0.5548  2 Ir 2.26
P 0.3750 0.8202 0.9452  2 Ir 2.26


First-principles (GGA-PBE) data for a relaxed Pr3Mg3Ag2Ir crystal, as listed in the Open Quantum Materials Database.

Calculated values
* crystal system: hexagonal
* VASP energy: -4.07 eV/atom

Cell: 7.6277 7.6277 4.3992 Å, 90.00 90.00 120.00°
Closest atoms and distances in Å follow each position.
Positions (direct):
Ag 0.6667 0.3333 0.0000  3 Mg 3.01, 6 Pr 3.21
Ag 0.3333 0.6667 0.0000  3 Mg 3.01, 6 Pr 3.21
Ir 0.0000 0.0000 0.5000  6 Mg 2.82, 3 Pr 3.01
Mg 0.7694 0.0000 0.0000  2 Ir 2.82, 2 Ag 3.01, 2 Mg 3.05
Mg 0.2306 0.2306 0.0000  2 Ir 2.82, 2 Ag 3.01, 2 Mg 3.05
Mg 0.0000 0.7694 0.0000  2 Ir 2.82, 2 Ag 3.01, 2 Mg 3.05
Pr 0.3947 0.0000 0.5000  1 Ir 3.01, 4 Ag 3.21
Pr 0.0000 0.3947 0.5000  1 Ir 3.01, 4 Ag 3.21
Pr 0.6053 0.6053 0.5000  1 Ir 3.01, 4 Ag 3.21


First-principles (GGA-PBE) data for a relaxed BaScNb2 crystal, as listed in the Open Quantum Materials Database.

Calculated values
* crystal system: cubic
* VASP energy: -6.29 eV/atom

Cell: 5.1009 5.1009 5.1009 Å, 60.00 60.00 60.00°
Closest atoms and distances in Å follow each position.
Positions (direct):
Ba 0.5000 0.5000 0.5000  4 Sc 3.12, 4 Nb 3.12
Nb 0.0000 0.0000 0.0000  4 Nb 3.12, 4 Sc 3.12
Nb 0.2500 0.2500 0.2500  4 Nb 3.12, 4 Ba 3.12
Sc 0.7500 0.7500 0.7500  4 Ba 3.12, 4 Nb 3.12